*i*
{"formula": "TlIrBr2", "functional": "PBE", "state": "relaxed", "total_magnetization_mub_per_cell": 0.42, "rho_g_cm3": 8.23, "spacegroup": "Cmmm (65)", "cell": [[-0.952, -0.570, -3.627], [-1.659, -1.860, 2.860], [-6.384, 6.661, 0.629]], "species": ["Ir", "Br", "Br", "Tl"], "frac_coords": [[0.500, 0.500, 0.250], [0.000, 0.000, 0.431], [0.000, 0.000, 0.069], [0.500, 0.500, 0.750]]}



*ii*
{"formula": "TlIrBr2", "functional": "PBE", "state": "relaxed", "total_magnetization_mub_per_cell": 0.50, "rho_g_cm3": 10.19, "spacegroup": "F-43m (216)", "cell": [[5.043, 0.000, 0.000], [2.522, 4.368, 0.000], [2.522, 1.456, 4.118]], "species": ["Br", "Br", "Ir", "Tl"], "frac_coords": [[0.000, 0.000, 0.000], [0.250, 0.250, 0.250], [0.500, 0.500, 0.500], [0.750, 0.750, 0.750]]}



*iii*
{"formula": "TlIrBr2", "functional": "PBE", "state": "relaxed", "total_magnetization_mub_per_cell": 2.11, "rho_g_cm3": 9.37, "spacegroup": "Fm-3m (225)", "cell": [[0.000, 3.667, 3.667], [3.667, 0.000, 3.667], [3.667, 3.667, 0.000]], "species": ["Ir", "Br", "Tl", "Br"], "frac_coords": [[0.000, 0.000, 0.000], [0.750, 0.750, 0.750], [0.500, 0.500, 0.500], [0.250, 0.250, 0.250]]}



*iv*
{"formula": "TlIrBr2", "functional": "PBE", "state": "relaxed", "total_magnetization_mub_per_cell": 0.00, "rho_g_cm3": 8.59, "spacegroup": "R-3m (166)", "cell": [[-2.888, -1.088, -8.126], [-0.037, -3.656, -7.886], [-3.528, -4.526, -6.529]], "species": ["Br", "Ir", "Br", "Tl"], "frac_coords": [[0.530, 0.530, 0.530], [0.250, 0.250, 0.250], [0.970, 0.970, 0.970], [0.750, 0.750, 0.750]]}



Which of them is least stable? Easy: *ii*.



*i*
{"formula": "Tl3IrBr6", "functional": "PBE", "state": "relaxed", "total_magnetization_mub_per_cell": 0.00, "rho_g_cm3": 6.31, "spacegroup": "P2_1/c (14)", "cell": [[-6.421, 3.658, -0.332], [-1.399, -1.727, 8.031], [-1.711, 13.162, 2.533]], "species": ["Tl", "Ir", "Tl", "Br", "Br", "Tl", "Br", "Br", "Br", "Br", "Ir", "Tl", "Tl", "Br", "Br", "Br", "Br", "Tl", "Br", "Br"], "frac_coords": [[0.778, 0.426, 0.256], [0.000, 0.500, 0.500], [0.778, 0.074, 0.756], [0.253, 0.343, 0.532], [0.910, 0.255, 0.935], [0.500, 0.000, 0.500], [0.324, 0.948, 0.783], [0.090, 0.745, 0.065], [0.747, 0.657, 0.468], [0.910, 0.245, 0.435], [0.000, 0.000, 0.000], [0.222, 0.926, 0.244], [0.500, 0.500, 0.000], [0.676, 0.448, 0.717], [0.324, 0.552, 0.283], [0.676, 0.052, 0.217], [0.253, 0.157, 0.032], [0.222, 0.574, 0.744], [0.090, 0.755, 0.565], [0.747, 0.843, 0.968]]}



*ii*
{"formula": "Tl3IrBr6", "functional": "PBE", "state": "relaxed", "total_magnetization_mub_per_cell": 0.00, "rho_g_cm3": 5.88, "spacegroup": "Fmmm (69)", "cell": [[7.437, -0.152, 0.000], [-1.306, 7.323, 0.000], [-3.066, -3.586, 6.684]], "species": ["Tl", "Br", "Br", "Tl", "Br", "Ir", "Tl", "Br", "Br", "Br"], "frac_coords": [[0.500, 0.500, 0.000], [0.780, 0.220, 0.000], [0.220, 0.780, 0.000], [0.750, 0.250, 0.500], [0.944, 0.944, 0.264], [0.000, 0.000, 0.000], [0.250, 0.750, 0.500], [0.680, 0.680, 0.736], [0.320, 0.320, 0.264], [0.056, 0.056, 0.736]]}



Which of them is least stable? Easy: *ii*.



*i*
{"formula": "Tl2IrBr", "functional": "PBE", "state": "relaxed", "total_magnetization_mub_per_cell": 0.00, "rho_g_cm3": 11.54, "spacegroup": "Fm-3m (225)", "cell": [[-2.914, 2.221, 3.655], [-3.313, 3.768, -1.268], [-5.097, -0.883, 0.136]], "species": ["Ir", "Tl", "Tl", "Br"], "frac_coords": [[0.500, 0.500, 0.500], [0.250, 0.250, 0.250], [0.750, 0.750, 0.750], [0.000, 0.000, 0.000]]}



*ii*
{"formula": "Tl2IrBr", "functional": "PBE", "state": "relaxed", "total_magnetization_mub_per_cell": 0.00, "rho_g_cm3": 12.16, "spacegroup": "C2/m (12)", "cell": [[5.365, -0.016, -0.037], [-5.055, 6.041, 0.074], [0.302, 1.478, 2.884]], "species": ["Tl", "Br", "Tl", "Ir"], "frac_coords": [[0.000, 0.000, 0.000], [0.500, 0.500, 0.000], [0.000, 0.500, 0.500], [0.500, 0.000, 0.500]]}



*iii*
{"formula": "Tl2IrBr", "functional": "PBE", "state": "relaxed", "total_magnetization_mub_per_cell": 0.00, "rho_g_cm3": 10.33, "spacegroup": "Cm (8)", "cell": [[8.286, -0.004, -0.054], [7.584, 3.338, -0.054], [0.023, 0.005, 3.952]], "species": ["Tl", "Tl", "Ir", "Br"], "frac_coords": [[0.269, 0.269, 0.377], [0.068, 0.068, 0.874], [0.713, 0.713, 0.876], [0.451, 0.451, 0.373]]}



Which of them is least stable? Easy: *i*.